Entry 1:
This record from Alexandria describes a relaxed Li8Cd3Pt2 crystal. The functional is PBE-GGA.

Cell: 7.8592 7.8592 4.5942 Å, 90.00 90.00 122.12°
Atoms (fractional coordinates):
Li 0.1178 0.8822 0.0000
Li 0.1649 0.4391 0.5000
Li 0.3031 0.6969 0.0000
Li 0.4391 0.1649 0.5000
Li 0.5609 0.8351 0.5000
Li 0.6969 0.3031 0.0000
Li 0.8351 0.5609 0.5000
Li 0.8822 0.1178 0.0000
Cd 0.0000 0.0000 0.5000
Cd 0.3123 0.3123 0.0000
Cd 0.6877 0.6877 0.0000
Pt 0.2094 0.7906 0.5000
Pt 0.7906 0.2094 0.5000

## Properties
Electronic total energy, eV per atom: -2.5686
Calculated volume, Å³ per atom: 18.5
Size of the total moment, μB/cell: 0.00
Symmetry: Cmmm (65)

***

Entry 2:
This record from Alexandria describes a relaxed Li4CdPt crystal. The functional is PBE-GGA.

Cell: 5.3572 5.3572 9.3266 Å, 107.47 107.47 47.97°
Atoms (fractional coordinates):
Li 0.0798 0.5821 0.7344
Li 0.1890 0.6886 0.5124
Li 0.3114 0.8110 0.9876
Li 0.4179 0.9202 0.7656
Li 0.5821 0.0798 0.2344
Li 0.6886 0.1890 0.0124
Li 0.8110 0.3114 0.4876
Li 0.9202 0.4179 0.2656
Cd 0.0000 0.5000 0.0000
Cd 0.5000 0.0000 0.5000
Pt 0.2510 0.7490 0.2500
Pt 0.7490 0.2510 0.7500

## Properties
Distance to the lowest polymorph of the same formula, meV per atom: 4.2
Calculated volume, Å³ per atom: 15.6
Size of the total moment, μB/cell: 0.00
Symmetry: C2/c (15)